1.
A relaxed Pm2Dy4Sc crystal. Source: the Alexandria database, functional PBE.

abc: 3.562 3.562 20.044
angles: 84.90 84.90 60.00
Fractional coordinates of all 7 atoms:
Sc: 0.000 0.000 0.000
Dy: 0.378 0.378 0.866
Dy: 0.908 0.908 0.277
Dy: 0.092 0.092 0.723
Dy: 0.622 0.622 0.134
Pm: 0.192 0.192 0.424
Pm: 0.808 0.808 0.576

Computed properties:
relative energy among the computed polymorphs: 0 kJ/mol of formula units
energy of formation: 2.8 kJ per mole of atoms
total moment: 0.00 μB/cell



2.
A relaxed Pm2Dy12Sc5 crystal. Source: the Alexandria database, functional PBE.

abc: 6.854 11.200 8.412
angles: 72.70 90.00 107.82
Fractional coordinates of all 19 atoms:
Dy: 0.549 0.098 0.309
Dy: 0.851 0.701 0.080
Dy: 0.456 0.404 0.206
Dy: 0.451 0.902 0.691
Dy: 0.636 0.782 0.390
Dy: 0.544 0.596 0.794
Dy: 0.052 0.596 0.794
Dy: 0.149 0.299 0.920
Dy: 0.854 0.218 0.610
Dy: 0.948 0.404 0.206
Dy: 0.146 0.782 0.390
Dy: 0.364 0.218 0.610
Sc: 0.348 0.696 0.098
Sc: 0.000 0.000 0.500
Sc: 0.749 0.498 0.497
Sc: 0.251 0.502 0.503
Sc: 0.652 0.304 0.902
Pm: 0.253 0.000 0.000
Pm: 0.747 0.000 0.000

Computed properties:
energy of formation: 15.4 kJ per mole of atoms
total moment: 0.00 μB/cell



> What is the formula in the first record?

Pm2Dy4Sc



> What is the total moment in the first record?

0.00 μB/cell



> Look up the total moment of the first one.

0.00 μB/cell



> Number 2 is which compound?

Pm2Dy12Sc5